Entry 1:
Entry from Alexandria via LeMat-Bulk: a geometry-optimized Os3O structure (PBE).

E_form (uncorrected) (meV/atom): 841

The structure in POSCAR format:
```
Os3O
1.0
6.106 0.000 0.000
-3.053 5.288 0.000
0.000 0.000 3.366
Os O
6 2
Direct
0.184 0.368 0.250 Os
0.184 0.816 0.250 Os
0.368 0.184 0.750 Os
0.632 0.816 0.250 Os
0.816 0.184 0.750 Os
0.816 0.632 0.750 Os
0.333 0.667 0.750 O
0.667 0.333 0.250 O
```

***

Entry 2:
Entry from Alexandria via LeMat-Bulk: a geometry-optimized P2OsO2 structure (PBE).

E_form (uncorrected) (meV/atom): 846

The structure in POSCAR format:
```
P2OsO2
1.0
3.833 0.000 0.000
0.000 3.833 0.000
0.000 0.000 3.906
P Os O
2 1 2
Direct
0.000 0.500 0.000 P
0.500 0.000 0.000 P
0.000 0.000 0.500 Os
0.500 0.500 0.000 O
0.500 0.500 0.500 O
```

***

Entry 3:
Entry from Alexandria via LeMat-Bulk: a geometry-optimized POs2O structure (PBE).

E_form (uncorrected) (meV/atom): 281

The structure in POSCAR format:
```
POs2O
1.0
5.723 0.000 0.000
0.000 5.723 0.000
0.000 0.000 5.723
P Os O
4 8 4
Direct
0.000 0.000 0.000 P
0.000 0.500 0.500 P
0.500 0.000 0.500 P
0.500 0.500 0.000 P
0.250 0.250 0.250 Os
0.250 0.250 0.750 Os
0.250 0.750 0.250 Os
0.250 0.750 0.750 Os
0.750 0.250 0.250 Os
0.750 0.250 0.750 Os
0.750 0.750 0.250 Os
0.750 0.750 0.750 Os
0.000 0.000 0.500 O
0.000 0.500 0.000 O
0.500 0.000 0.000 O
0.500 0.500 0.500 O
```

***

Entry 4:
Entry from Alexandria via LeMat-Bulk: a geometry-optimized POsO3 structure (PBE).

E_form (uncorrected) (meV/atom): 380

The structure in POSCAR format:
```
POsO3
1.0
3.693 0.000 0.000
0.000 3.693 0.000
0.000 0.000 3.693
P Os O
1 1 3
Direct
0.000 0.000 0.000 P
0.500 0.500 0.500 Os
0.000 0.000 0.500 O
0.000 0.500 0.000 O
0.500 0.000 0.000 O
```

***

Number 1: total magnetization 0.0 μB per formula unit, VASP energy -8.821 eV per atom. Number 2: total magnetization 0.0 μB per formula unit, VASP energy -5.547 eV per atom. Number 3: total magnetization 0.0 μB per formula unit, VASP energy -7.926 eV per atom. Number 4: total magnetization 4.0 μB per formula unit, VASP energy -5.923 eV per atom.